Li2IrPt | the Alexandria database | GGA-PBE | optimized geometry; polymorph energy (0 for the lowest one) = 1.184 eV per formula unit; ΔE_f = -140.6 meV per atom; calculated volume = 54.92 Å³ per cell
1.0
2.800 0.000 0.000
0.000 2.800 0.000
0.000 0.000 7.003
Li Ir Pt
2 1 1
Direct
0.000 0.000 0.000
0.500 0.500 0.252
0.500 0.500 0.764
0.000 0.000 0.489